(1)
Computed, not measured: Li2CdBi after structural relaxation at the GGA-PBE level of DFT.

Cell: 6.4048 6.4048 6.4048 Å, 60.68 148.58 129.52°
Sites, in units of the cell vectors:
1 Li 0.0000 0.2482 0.2482
2 Li 0.0000 0.7518 0.7518
3 Cd 0.0000 0.0000 0.0000
4 Bi 0.0000 0.5000 0.5000

Values from the calculation:
space-group type: Immm, No. 71
ΔE_f: 3.66 kJ/mol of atoms
raw total energy: -8.47 eV per formula unit
mass density: 5.32 g cm⁻³

=====

(2)
Computed, not measured: Li3CdBi after structural relaxation at the GGA-PBE level of DFT.

Cell: 5.6895 8.1197 11.2110 Å, 116.64 90.00 90.00°
Sites, in units of the cell vectors:
1 Li 0.1243 0.9550 0.3623
2 Li 0.8757 0.0450 0.6377
3 Li 0.6243 0.0450 0.1377
4 Li 0.3757 0.9550 0.8623
5 Li 0.5809 0.6435 0.3722
6 Li 0.4191 0.3565 0.6278
7 Li 0.0809 0.3565 0.1278
8 Li 0.9191 0.6435 0.8722
9 Li 0.1591 0.6533 0.5634
10 Li 0.8409 0.3467 0.4366
11 Li 0.6591 0.3467 0.9366
12 Li 0.3409 0.6533 0.0634
13 Cd 0.3678 0.9764 0.5971
14 Cd 0.6322 0.0236 0.4029
15 Cd 0.8678 0.0236 0.9029
16 Cd 0.1322 0.9764 0.0971
17 Bi 0.8202 0.6938 0.1538
18 Bi 0.1798 0.3062 0.8462
19 Bi 0.3202 0.3062 0.3462
20 Bi 0.6798 0.6938 0.6538

Values from the calculation:
space-group type: P2_1/c, No. 14
ΔE_f: -29.24 kJ/mol of atoms
raw total energy: -12.05 eV per formula unit
mass density: 4.91 g cm⁻³

=====

(3)
Computed, not measured: LiCdBi2 after structural relaxation at the GGA-PBE level of DFT.

Cell: 4.7219 4.7219 6.6463 Å, 69.19 69.19 60.00°
Sites, in units of the cell vectors:
1 Li 0.4983 0.4983 0.5050
2 Cd 0.6682 0.6682 0.9956
3 Bi 0.0837 0.0837 0.7488
4 Bi 0.2498 0.2498 0.2507

Values from the calculation:
space-group type: R3m, No. 160
ΔE_f: -10.64 kJ/mol of atoms
raw total energy: -11.03 eV per formula unit
mass density: 7.62 g cm⁻³

=====

(4)
Computed, not measured: LiCd4Bi after structural relaxation at the GGA-PBE level of DFT.

Cell: 5.8818 5.9814 8.8767 Å, 70.31 91.04 93.07°
Sites, in units of the cell vectors:
1 Li 0.2500 0.8214 0.8573
2 Li 0.7500 0.1786 0.1427
3 Cd 0.9129 0.2483 0.4719
4 Cd 0.7490 0.0942 0.8147
5 Cd 0.4129 0.2202 0.5281
6 Cd 0.2490 0.4089 0.1853
7 Cd 0.0871 0.7517 0.5281
8 Cd 0.5871 0.7798 0.4719
9 Cd 0.2510 0.9058 0.1853
10 Cd 0.7510 0.5911 0.8147
11 Bi 0.2500 0.3241 0.8517
12 Bi 0.7500 0.6759 0.1483

Values from the calculation:
space-group type: C2/c, No. 15
ΔE_f: -5.69 kJ/mol of atoms
raw total energy: -9.81 eV per formula unit
mass density: 7.53 g cm⁻³

=====

(5)
Computed, not measured: LiCdBi2 after structural relaxation at the GGA-PBE level of DFT.

Cell: 4.8238 4.8238 10.9687 Å, 90.00 90.00 120.00°
Sites, in units of the cell vectors:
1 Li 0.0000 0.0000 0.2500
2 Li 0.0000 0.0000 0.7500
3 Cd 0.6667 0.3333 0.2500
4 Cd 0.3333 0.6667 0.7500
5 Bi 0.6667 0.3333 0.5951
6 Bi 0.3333 0.6667 0.0951
7 Bi 0.3333 0.6667 0.4049
8 Bi 0.6667 0.3333 0.9049

Values from the calculation:
space-group type: P6_3/mmc, No. 194
ΔE_f: -8.53 kJ/mol of atoms
raw total energy: -10.94 eV per formula unit
mass density: 8.07 g cm⁻³

=====

(6)
Computed, not measured: Li3CdBi2 after structural relaxation at the GGA-PBE level of DFT.

Cell: 5.0272 6.8155 8.8058 Å, 112.77 106.59 90.00°
Sites, in units of the cell vectors:
1 Li 0.5000 0.2500 0.0000
2 Li 0.5000 0.7500 0.0000
3 Li 0.8317 0.0817 0.6634
4 Li 0.1683 0.4183 0.3366
5 Li 0.1683 0.9183 0.3366
6 Li 0.8317 0.5817 0.6634
7 Cd 0.0000 0.5000 0.0000
8 Cd 0.0000 0.0000 0.0000
9 Bi 0.3420 0.3419 0.6838
10 Bi 0.6582 0.1581 0.3162
11 Bi 0.3418 0.8419 0.6838
12 Bi 0.6580 0.6581 0.3162

Values from the calculation:
space-group type: Cmmm, No. 65
ΔE_f: -32.82 kJ/mol of atoms
raw total energy: -16.46 eV per formula unit
mass density: 6.92 g cm⁻³